Density functional theory data (PBE) for a relaxed structure of Pa2Bi3Pd.

POSCAR file:
```
Pa2Bi3Pd
1.0
-2.271 3.120 6.202
2.271 -3.120 6.202
2.271 3.120 -6.202
Pa Bi Pd
2 3 1
Cartesian
0.000 0.000 2.228
0.000 0.000 10.177
2.271 0.000 0.000
2.271 0.000 4.415
0.000 3.120 1.787
0.000 0.000 6.202
```

Computed properties:
Total moment ... 2.02 μB per cell
Energy relative to the elements ... 0.037 eV per atom
Energy above the lowest structure with this stoichiometry ... 30.8 kJ per mole of atoms